Record 1
First-principles (GGA-PBE) data for PuMnH5 after structural relaxation, as listed in Alexandria.

Cell: 4.3544 4.3544 7.3977 Å, 64.90 64.90 63.84°
Last column: magnetic moment on the atom in μB.
Fractional coordinates of all 14 atoms:
H  0.5628  0.0951  0.5855  -0.01
Pu  0.5000  0.5000  0.7500  4.92
Mn  0.0000  0.0000  0.5000  -1.92
Pu  0.5000  0.5000  0.2500  4.92
H  0.0000  0.0000  0.7500  0.00
H  0.5627  0.0958  0.0852  -0.01
H  0.4372  0.9049  0.4145  -0.01
H  0.9049  0.4372  0.9145  -0.01
H  0.0000  0.0000  0.2500  0.00
H  0.4373  0.9042  0.9148  -0.01
H  0.0958  0.5627  0.5852  -0.01
Mn  0.0000  0.0000  0.0000  -1.92
H  0.9042  0.4373  0.4148  -0.01
H  0.0951  0.5628  0.0855  -0.01

Summary:
E_tot = -5.9522 eV per atom

Record 2
First-principles (GGA-PBE) data for PmMg2Bi after structural relaxation, as listed in Alexandria.

Cell: 5.4094 5.4094 5.4114 Å, 60.01 60.01 60.00°
Fractional coordinates of all 4 atoms:
Mg  0.2498  0.2498  0.2505
Bi  0.5000  0.5000  0.5000
Pm  0.0000  0.0000  0.0000
Mg  0.7502  0.7502  0.7495

Summary:
ΔE_f = -7.4 kJ/mol of atoms
polymorph energy (0 for the lowest one) = 0.309 eV per atom

Record 3
First-principles (GGA-PBE) data for PmCdNiPt after structural relaxation, as listed in Alexandria.

Cell: 4.7993 4.7993 4.7993 Å, 60.00 60.00 60.00°
Fractional coordinates of all 4 atoms:
Ni  0.2500  0.2500  0.2500
Cd  0.5000  0.5000  0.5000
Pt  0.7500  0.7500  0.7500
Pm  0.0000  0.0000  0.0000

Summary:
ΔE_f = -45.5 kJ/mol of atoms

Record 4
First-principles (GGA-PBE) data for Pa2AgPdO8 after structural relaxation, as listed in Alexandria.

Cell: 5.4743 5.4743 6.4959 Å, 90.00 90.00 120.00°
Fractional coordinates of all 12 atoms:
Pd  0.0000  0.0000  0.0000
Ag  0.0000  0.0000  0.5000
O  0.8206  0.1794  0.8461
O  0.6412  0.8206  0.1539
O  0.1794  0.8206  0.1539
O  0.1794  0.3588  0.1539
O  0.3588  0.1794  0.8461
Pa  0.3333  0.6667  0.8715
O  0.6667  0.3333  0.4150
Pa  0.6667  0.3333  0.1285
O  0.8206  0.6412  0.8461
O  0.3333  0.6667  0.5850

Summary:
E_tot = -7.3019 eV per atom

Record 5
First-principles (GGA-PBE) data for La8Os3I3N after structural relaxation, as listed in Alexandria.

Cell: 8.2877 8.2858 9.6324 Å, 115.47 90.04 119.99°
Fractional coordinates of all 15 atoms:
La  0.2155  0.9561  0.6710
La  0.2153  0.4308  0.6706
I  0.0000  0.0000  0.0000
La  0.7847  0.5692  0.3294
Os  0.5000  0.0000  0.5000
La  0.7305  0.4611  0.6912
Os  0.5000  0.5000  0.5000
I  0.0000  0.5000  0.0000
La  0.2695  0.5389  0.3088
La  0.7403  0.9559  0.6709
Os  0.0000  0.5000  0.5000
La  0.7845  0.0439  0.3290
I  0.5000  0.5000  0.0000
La  0.2597  0.0441  0.3291
N  0.0000  0.0000  0.5000

Summary:
E_tot = -6.4127 eV per atom

Record 6
First-principles (GGA-PBE) data for H2S2F after structural relaxation, as listed in Alexandria.

Cell: 5.6718 5.6718 3.3336 Å, 90.00 90.00 90.00°
Fractional coordinates of all 10 atoms:
H  0.7512  0.7488  0.0000
S  0.2506  0.7506  0.5000
H  0.2512  0.7512  0.0000
S  0.7506  0.7494  0.5000
H  0.2488  0.2512  0.0000
H  0.7488  0.2488  0.0000
F  0.0000  0.0000  0.0000
S  0.2494  0.2506  0.5000
S  0.7494  0.2494  0.5000
F  0.5000  0.5000  0.0000

Summary:
polymorph energy (0 for the lowest one) = 0.000 eV per atom